I: relaxed, PBE-GGA.

Properties
For the uncorrected formation energy, the calculation gives 89 meV per atom. The value obtained for the calculated volume is 1217 Å³/cell.

a b c (Å): 8.992 10.946 12.370
angles (deg): 90.00 90.00 90.00
Space group Fmmm (No. 69)
Inequivalent atoms, fractional coordinates:
I 0.000 0.128 0.187